# 1
First-principles (PBE-GGA) data for a geometry-optimized Sm3SbTe2 structure, as listed in the Open Quantum Materials Database.

a b c (Å): 4.4550 4.4550 10.8949
angles (deg): 90.00 90.00 120.00
Space group P-3m1 (No. 164)
Inequivalent atoms, fractional coordinates:
Sm  0.0000  0.0000  0.0000 x1
Sm  0.3333  0.6667  0.6611 x2
Sb  0.0000  0.0000  0.5000 x1
Te  0.3333  0.6667  0.1675 x2

Computed properties:
The raw total energy is -5.44 eV per atom. The value obtained for the total magnetization is 0.0 μB/f.u.


# 2
First-principles (PBE-GGA) data for a geometry-optimized SmThSb structure, as listed in the Open Quantum Materials Database.

a b c (Å): 7.387 7.387 7.387
angles (deg): 90.00 90.00 90.00
Space group F-43m (No. 216)
Inequivalent atoms, fractional coordinates:
Sm  0.000  0.000  0.000 x4
Th  0.000  0.000  0.500 x4
Sb  0.250  0.250  0.250 x4

Computed properties:
The raw total energy is -5.78 eV per atom. The value obtained for the total magnetization is 0.0 μB/f.u.


# 3
First-principles (PBE-GGA) data for a geometry-optimized Sm5ThSb6 structure, as listed in the Open Quantum Materials Database.

a b c (Å): 7.757 13.429 7.758
angles (deg): 90.00 109.45 90.00
Space group C2/m (No. 12)
Inequivalent atoms, fractional coordinates:
Sm  0.000  0.000  0.000 x2
Sm  0.000  0.167  0.500 x4
Sm  0.000  0.334  0.000 x4
Th  0.000  0.500  0.500 x2
Sb  0.249  0.000  0.750 x4
Sb  0.249  0.167  0.249 x8

Computed properties:
The raw total energy is -5.80 eV per atom. The value obtained for the total magnetization is 0.0 μB/f.u.


# 4
First-principles (PBE-GGA) data for a geometry-optimized SmTlSb3 structure, as listed in the Open Quantum Materials Database.

a b c (Å): 6.213 9.513 10.688
angles (deg): 90.00 90.00 90.00
Space group Imma (No. 74)
Inequivalent atoms, fractional coordinates:
Sm  0.000  0.000  0.000 x4
Tl  0.000  0.250  0.491 x4
Sb  0.000  0.250  0.189 x4
Sb  0.250  0.094  0.750 x8

Computed properties:
The raw total energy is -4.11 eV per atom. The value obtained for the total magnetization is 0.0 μB/f.u.


# 5
First-principles (PBE-GGA) data for a geometry-optimized SmTm2Sb3 structure, as listed in the Open Quantum Materials Database.

a b c (Å): 4.3793 4.3793 10.7216
angles (deg): 90.00 90.00 120.00
Space group P-3m1 (No. 164)
Inequivalent atoms, fractional coordinates:
Sm  0.0000  0.0000  0.0000 x1
Tm  0.3333  0.6667  0.3368 x2
Sb  0.0000  0.0000  0.5000 x1
Sb  0.3333  0.6667  0.8255 x2

Computed properties:
The raw total energy is -5.44 eV per atom. The value obtained for the total magnetization is 0.0 μB/f.u.


# 6
First-principles (PBE-GGA) data for a geometry-optimized Sm3Tm2Sb3 structure, as listed in the Open Quantum Materials Database.

a b c (Å): 9.0461 9.0461 6.3603
angles (deg): 90.00 90.00 120.00
Space group P6_3/mcm (No. 193)
Inequivalent atoms, fractional coordinates:
Sm  0.0000  0.2476  0.2500 x6
Tm  0.3333  0.6667  0.0000 x4
Sb  0.0000  0.3930  0.7500 x6

Computed properties:
The raw total energy is -5.36 eV per atom. The value obtained for the total magnetization is 0.1 μB/f.u.